[1]
SmEr2Rh, optimized geometry, DFT PBE-GGA; SG = R-3m (166); energy relative to the elements = -0.1804 eV per atom; energy relative to the lowest polymorph listed for this composition = 344.4 meV/atom; final energy = -0.4027 Ry/atom
1.0
2.325 1.342 5.784
-2.325 1.342 5.784
0.000 -2.685 5.784
Sm Er Rh
1 2 1
Cartesian
0.000 0.000 0.000
0.000 0.000 3.792
0.000 0.000 13.560
0.000 0.000 8.676

---

[2]
La2MgRhPb, optimized geometry, DFT PBE-GGA; SG = P4/mmm (123); energy relative to the elements = -0.5267 eV per atom; final energy = -0.3696 Ry/atom
1.0
5.468 0.000 0.000
0.000 5.468 0.000
0.000 0.000 5.086
La Mg Rh Pb
2 1 1 1
Cartesian
0.000 2.734 0.000
2.734 0.000 0.000
0.000 0.000 2.543
0.000 0.000 0.000
2.734 2.734 2.543